Version a
Crystalline CaAcNd2 at its relaxed geometry. Source: Alexandria, functional GGA-PBE.

Calculated values
Size of the total moment   0.00 Bohr magnetons per cell

Geometry as POSCAR:
```
CaAcNd2
1.0
1.8620 1.0750 13.2028
-1.8620 1.0750 13.2028
0.0000 -2.1501 13.2028
Ca Ac Nd
1 1 2
direct
0.0000 0.0000 0.0000 Ca
0.5000 0.5000 0.5000 Ac
0.0895 0.0895 0.0895 Nd
0.9105 0.9105 0.9105 Nd
```

---

Version b
Crystalline CaAcNd2 at its relaxed geometry. Source: Alexandria, functional GGA-PBE.

Calculated values
Size of the total moment   0.00 Bohr magnetons per cell

Geometry as POSCAR:
```
CaAcNd2
1.0
1.9014 1.0978 12.4210
-1.9014 1.0978 12.4210
0.0000 -2.1956 12.4210
Ca Ac Nd
1 1 2
direct
0.0000 0.0000 0.0000 Ca
0.1658 0.1658 0.1658 Ac
0.5813 0.5813 0.5813 Nd
0.7507 0.7507 0.7507 Nd
```

---

Energetically preferred structure: version b | next structure: +0.101 eV/atom

---

Version a
Crystalline CaAc8Nd2 at its relaxed geometry. Source: Alexandria, functional GGA-PBE.

Calculated values
Size of the total moment   0.00 Bohr magnetons per cell

Geometry as POSCAR:
```
CaAc8Nd2
1.0
6.5963 -6.3370 0.0000
6.5963 6.3370 0.0000
-1.5490 0.0000 6.2192
Ca Ac Nd
1 8 2
direct
0.0000 0.0000 0.0000 Ca
0.1372 0.6531 0.2157 Ac
0.2705 0.2705 0.1110 Ac
0.3469 0.8628 0.7843 Ac
0.4163 0.4163 0.7075 Ac
0.5837 0.5837 0.2925 Ac
0.6531 0.1372 0.2157 Ac
0.7295 0.7295 0.8890 Ac
0.8628 0.3469 0.7843 Ac
0.1313 0.1313 0.5114 Nd
0.8687 0.8687 0.4886 Nd
```

---

Version b
Crystalline CaAc8Nd2 at its relaxed geometry. Source: Alexandria, functional GGA-PBE.

Calculated values
Size of the total moment   0.00 Bohr magnetons per cell

Geometry as POSCAR:
```
CaAc8Nd2
1.0
-2.9524 4.9676 8.2487
2.9524 -4.9676 8.2487
2.9524 4.9676 -8.2487
Ca Ac Nd
1 8 2
direct
0.0000 0.0000 0.0000 Ca
0.1281 0.8402 0.2879 Ac
0.1469 0.6469 0.5000 Ac
0.3144 0.5000 0.8144 Ac
0.4478 0.1598 0.2879 Ac
0.5522 0.8402 0.7121 Ac
0.6856 0.5000 0.1856 Ac
0.8531 0.3531 0.5000 Ac
0.8719 0.1598 0.7121 Ac
0.2944 0.2944 0.0000 Nd
0.7056 0.7056 0.0000 Nd
```

---

Energetically preferred structure: version b | next structure: +0.264 eV/atom

---

Version a
Crystalline CaAc4Nd2 at its relaxed geometry. Source: Alexandria, functional GGA-PBE.

Calculated values
Size of the total moment   0.96 Bohr magnetons per cell

Geometry as POSCAR:
```
CaAc4Nd2
1.0
-3.0605 3.0605 8.9186
3.0605 -3.0605 8.9186
3.0605 3.0605 -8.9186
Ca Ac Nd
1 4 2
direct
0.0000 0.0000 0.0000 Ca
0.0000 0.5000 0.5000 Ac
0.1892 0.1892 0.0000 Ac
0.5000 0.0000 0.5000 Ac
0.8108 0.8108 0.0000 Ac
0.3916 0.3916 0.0000 Nd
0.6084 0.6084 0.0000 Nd
```

---

Version b
Crystalline CaAc4Nd2 at its relaxed geometry. Source: Alexandria, functional GGA-PBE.

Calculated values
Size of the total moment   0.00 Bohr magnetons per cell

Geometry as POSCAR:
```
CaAc4Nd2
1.0
1.9409 -8.5545 0.0000
1.9409 8.5545 0.0000
0.0000 0.0000 18.1565
Ca Ac Nd
2 8 4
direct
0.0299 0.9701 0.7500 Ca
0.9701 0.0299 0.2500 Ca
0.0000 0.0000 0.0000 Ac
0.0000 0.0000 0.5000 Ac
0.2794 0.7206 0.2500 Ac
0.3637 0.6363 0.6369 Ac
0.3637 0.6363 0.8631 Ac
0.6363 0.3637 0.1369 Ac
0.6363 0.3637 0.3631 Ac
0.7206 0.2794 0.7500 Ac
0.3176 0.6824 0.0616 Nd
0.3176 0.6824 0.4384 Nd
0.6824 0.3176 0.5616 Nd
0.6824 0.3176 0.9384 Nd
```

---

Energetically preferred structure: version b | next structure: +0.557 eV/atom

---

Version a
Crystalline CaAc2Nd at its relaxed geometry. Source: Alexandria, functional GGA-PBE.

Calculated values
Size of the total moment   0.00 Bohr magnetons per cell

Geometry as POSCAR:
```
CaAc2Nd
1.0
3.9057 0.0000 0.0000
0.0000 3.9057 0.0000
0.0000 0.0000 10.9617
Ca Ac Nd
1 2 1
direct
0.0000 0.0000 0.0000 Ca
0.5000 0.5000 0.2630 Ac
0.5000 0.5000 0.7370 Ac
0.0000 0.0000 0.5000 Nd
```

---

Version b
Crystalline CaAc2Nd at its relaxed geometry. Source: Alexandria, functional GGA-PBE.

Calculated values
Size of the total moment   0.01 Bohr magnetons per cell

Geometry as POSCAR:
```
CaAc2Nd
1.0
1.8931 1.0930 13.6024
-1.8931 1.0930 13.6024
0.0000 -2.1859 13.6024
Ca Ac Nd
1 2 1
direct
0.0000 0.0000 0.0000 Ca
0.4140 0.4140 0.4140 Ac
0.5860 0.5860 0.5860 Ac
0.5000 0.5000 0.5000 Nd
```

---

Version c
Crystalline CaAc2Nd at its relaxed geometry. Source: Alexandria, functional GGA-PBE.

Calculated values
Size of the total moment   0.00 Bohr magnetons per cell

Geometry as POSCAR:
```
CaAc2Nd
1.0
0.0000 4.3613 4.3613
4.3613 0.0000 4.3613
4.3613 4.3613 0.0000
Ca Ac Nd
1 2 1
direct
0.0000 0.0000 0.0000 Ca
0.2500 0.2500 0.2500 Ac
0.7500 0.7500 0.7500 Ac
0.5000 0.5000 0.5000 Nd
```

---

Energetically preferred structure: version a | next structure: +0.045 eV/atom